(1)
Ac3Ge4Pd7: relaxed, PBE-GGA.

abc: 16.690 4.315 9.995
angles: 90.00 126.71 90.00
Space group C2/m (No. 12)
Unique sites:
Ac (0.000, 0.000, 0.000)
Ac (0.172, 0.500, 0.666)
Ge (0.111, 0.000, 0.830)
Ge (0.165, 0.500, 0.279)
Pd (0.000, 0.000, 0.500)
Pd (0.006, 0.500, 0.267)
Pd (0.170, 0.000, 0.421)
Pd (0.195, 0.500, 0.035)

**Calculated formation energy**: -0.7697 eV per atom
**Total moment**: 0.0 μB per cell

(2)
TbNdOs4: relaxed, PBE-GGA.

abc: 7.646 7.646 7.646
angles: 90.00 90.00 90.00
Space group F-43m (No. 216)
Unique sites:
Tb (0.000, 0.000, 0.000)
Nd (0.250, 0.250, 0.750)
Os (0.125, 0.125, 0.375)

**Calculated formation energy**: -0.1587 eV per atom
**Total moment**: 0.0 μB per cell

(3)
RbCd: relaxed, PBE-GGA.

abc: 4.763 6.244 12.166
angles: 90.00 90.00 90.00
Space group Imma (No. 74)
Unique sites:
Rb (0.000, 0.250, 0.102)
Cd (0.000, 0.250, 0.679)

**Calculated formation energy**: -0.0264 eV per atom
**Total moment**: 0.0 μB per cell

(4)
HfCdHg2: relaxed, PBE-GGA.

abc: 4.647 4.647 3.988
angles: 90.00 90.00 90.00
Space group P4/mmm (No. 123)
Unique sites:
Hf (0.000, 0.000, 0.000)
Cd (0.500, 0.500, 0.000)
Hg (0.000, 0.500, 0.500)

**Calculated formation energy**: 0.0149 eV per atom
**Total moment**: 0.0 μB per cell